A geometry-optimized Li3Hf3ZrS8 structure. Source: Alexandria via LeMat-Bulk, functional PBE.

Space group: C2/m, No. 12
Magnetic moment (μB per formula unit): 0.0

Structure (POSCAR):
```
Li3Hf3ZrS8
1.0
7.183 0.000 0.000
-3.591 6.214 -0.017
0.000 -4.113 6.283
Hf Zr S Li
3 1 8 3
Cartesian
1.796 1.050 3.133 Hf
-1.796 1.050 3.133 Hf
3.591 -2.056 3.142 Hf
0.000 -2.056 3.142 Zr
3.591 0.021 4.681 S
1.769 3.112 4.666 S
1.822 -1.011 1.601 S
0.000 2.080 1.585 S
5.360 -1.011 1.601 S
0.000 0.051 4.674 S
3.591 2.049 1.592 S
-1.769 3.112 4.666 S
1.796 3.107 -0.008 Li
-1.796 3.107 -0.008 Li
0.000 0.000 0.000 Li
```

***

A geometry-optimized YFe2C structure. Source: Alexandria via LeMat-Bulk, functional PBE.

Space group: Cmcm, No. 63
Magnetic moment (μB per formula unit): 1.5

Structure (POSCAR):
```
YFe2C
1.0
-1.621 2.508 -1.679
-0.950 -2.291 -2.505
-6.649 -3.069 5.329
Fe Y C
4 2 2
Cartesian
-0.795 -0.708 -0.291 Fe
-8.425 -2.143 1.435 Fe
-4.776 -0.226 0.778 Fe
-4.444 -2.626 0.367 Fe
-3.257 -0.886 -1.675 Y
-5.964 -1.966 2.820 Y
-6.057 -1.567 0.011 C
-3.163 -1.284 1.134 C
```

***

no.,total energy (eV per atom)
1,-6.679
2,-8.123